#P
## SmTm4Sc (PBE)

Data for crystalline SmTm4Sc at its relaxed geometry.

a = 8.720 Å, b = 14.313 Å, c = 6.213 Å
α = 90.00°, β = 109.44°, γ = 90.00°
Space group C2/c (No. 15)
One atom of each set of equivalent atoms:
Sm 0.000 0.086 0.250
Tm 0.096 0.308 0.537
Tm 0.211 0.127 0.878
Sc 0.000 0.499 0.750

***

#Q
## SmTm4Sc (PBE)

Data for crystalline SmTm4Sc at its relaxed geometry.

a = 3.384 Å, b = 5.512 Å, c = 9.503 Å
α = 90.00°, β = 90.00°, γ = 90.00°
Space group Pmmm (No. 47)
One atom of each set of equivalent atoms:
Sm 0.000 0.000 0.000
Tm 0.500 0.000 0.339
Tm 0.500 0.500 0.174
Sc 0.000 0.500 0.500

***

Referenced to the most stable arrangement, the calculated values in kJ/mol of atoms are #P 3.5; #Q 0.0.

***

#P
## SmTm5Sc (PBE)

Data for crystalline SmTm5Sc at its relaxed geometry.

a = 9.071 Å, b = 3.529 Å, c = 13.505 Å
α = 90.00°, β = 102.21°, γ = 90.00°
Space group P2_1/m (No. 11)
One atom of each set of equivalent atoms:
Sm 0.113 0.250 0.137
Tm 0.005 0.750 0.370
Tm 0.204 0.250 0.885
Tm 0.327 0.250 0.507
Tm 0.350 0.750 0.722
Tm 0.419 0.750 0.083
Sc 0.352 0.750 0.308

***

#Q
## SmTm5Sc (PBE)

Data for crystalline SmTm5Sc at its relaxed geometry.

a = 8.014 Å, b = 11.351 Å, c = 5.951 Å
α = 90.00°, β = 90.00°, γ = 90.00°
Space group Imm2 (No. 44)
One atom of each set of equivalent atoms:
Sm 0.000 0.000 0.000
Tm 0.000 0.000 0.476
Tm 0.000 0.251 0.735
Tm 0.176 0.500 0.239
Sc 0.000 0.500 0.741

***

Referenced to the most stable arrangement, the calculated values in kJ/mol of atoms are #P 0.0; #Q 91.3.

***

#P
## Sm2Tm8Sc (PBE)

Data for crystalline Sm2Tm8Sc at its relaxed geometry.

a = 16.978 Å, b = 5.400 Å, c = 8.306 Å
α = 90.00°, β = 117.98°, γ = 90.00°
Space group C2/m (No. 12)
One atom of each set of equivalent atoms:
Sm 0.203 0.000 0.159
Tm 0.017 0.000 0.224
Tm 0.111 0.500 0.932
Tm 0.154 0.000 0.689
Tm 0.162 0.500 0.389
Sc 0.000 0.500 0.500

***

#Q
## Sm2Tm8Sc (PBE)

Data for crystalline Sm2Tm8Sc at its relaxed geometry.

a = 16.224 Å, b = 6.504 Å, c = 6.559 Å
α = 90.00°, β = 101.26°, γ = 90.00°
Space group C2/m (No. 12)
One atom of each set of equivalent atoms:
Sm 0.246 0.000 0.322
Tm 0.082 0.258 0.389
Tm 0.091 0.500 0.910
Tm 0.191 0.000 0.807
Sc 0.000 0.000 0.000

***

Referenced to the most stable arrangement, the calculated values in kJ/mol of atoms are #P 0.0; #Q 6.1.